VASP calculation (PBE with a Hubbard U) on a geometry-optimized Ca2TiCoO6 structure.

```
Ca2TiCoO6
1.0
5.343 0.000 0.000
0.000 5.379 0.000
-5.336 0.000 7.550
Ca Ti Co O
4 2 2 12
direct
0.241 0.039 0.249 Ca
0.241 0.461 0.749 Ca
0.759 0.539 0.251 Ca
0.759 0.961 0.751 Ca
0.500 0.000 0.000 Ti
0.500 0.500 0.500 Ti
0.000 0.000 0.500 Co
0.000 0.500 0.000 Co
0.172 0.218 0.964 O
0.172 0.282 0.464 O
0.246 0.711 0.962 O
0.246 0.789 0.462 O
0.316 0.013 0.745 O
0.316 0.487 0.245 O
0.684 0.513 0.755 O
0.684 0.987 0.255 O
0.754 0.211 0.538 O
0.754 0.289 0.038 O
0.828 0.718 0.536 O
0.828 0.782 0.036 O
```

symmetry: No. 14
uncorrected energy: -141.05 eV/cell